Material: Zr2HRuPt
Method: DFT, PBE-GGA
State: relaxed

Cell and atoms, written as CIF:
```
data_Zr2HRuPt
_cell_length_a 4.451
_cell_length_b 4.451
_cell_length_c 3.780
_cell_angle_alpha 90.00
_cell_angle_beta 90.00
_cell_angle_gamma 90.00
_symmetry_space_group_name_H-M 'P 4/m m m'
_symmetry_Int_Tables_number 123
_symmetry_space_group_name_Hall '-P 4 2'
loop_
_atom_site_label
_atom_site_type_symbol
_atom_site_fract_x
_atom_site_fract_y
_atom_site_fract_z
Zr1 Zr 0.000 0.500 0.000
H1 H 0.000 0.000 0.000
Ru1 Ru 0.500 0.500 0.500
Pt1 Pt 0.000 0.000 0.500
```

Results
Spin magnetization (μB/atom): 0.00
Crystal system: tetragonal
Offset from the most stable computed form (meV per atom): 77